(1)
DFT (SCAN) results for a PBEsol-optimized structure of MgTc3Pb.

Results
Uncorrected energy, eV per atom: -35.3826
M_tot, μB/f.u.: 4.9
Symmetry: Pm-3m, No. 221
Theoretical density, g/cm3: 9.26

extended XYZ file:
```
5
Lattice="4.550 0.000 0.000 0.000 4.550 0.000 0.000 0.000 4.550" Properties=species:S:1:pos:R:3 pbc="T T T"
Mg 0.000 0.000 0.000
Tc 0.000 0.000 2.275
Tc 0.000 2.275 0.000
Tc 2.275 0.000 0.000
Pb 2.275 2.275 2.275
```

(2)
DFT (SCAN) results for a PBEsol-optimized structure of LaCrCl2.

Results
M_tot, μB/f.u.: 5.0
E_form (uncorrected), eV/atom: -1.0256
Symmetry: Fm-3m, No. 225
Theoretical density, g/cm3: 5.17
E above lowest polymorph, meV per atom: 0

extended XYZ file:
```
16
Lattice="6.954 0.000 0.000 0.000 6.954 0.000 0.000 0.000 6.954" Properties=species:S:1:pos:R:3 pbc="T T T"
La 0.000 0.000 0.000
La 0.000 3.477 3.477
La 3.477 0.000 3.477
La 3.477 3.477 0.000
Cr 0.000 0.000 3.477
Cr 0.000 3.477 0.000
Cr 3.477 0.000 0.000
Cr 3.477 3.477 3.477
Cl 1.739 1.739 1.739
Cl 1.739 1.739 5.216
Cl 1.739 5.216 1.739
Cl 1.739 5.216 5.216
Cl 5.216 1.739 1.739
Cl 5.216 1.739 5.216
Cl 5.216 5.216 1.739
Cl 5.216 5.216 5.216
```

(3)
DFT (SCAN) results for a PBEsol-optimized structure of MnCdIn.

Results
Uncorrected energy, eV per atom: -27.2542
M_tot, μB/f.u.: 3.7
Symmetry: P3m1, No. 156
Theoretical density, g/cm3: 8.39

extended XYZ file:
```
3
Lattice="4.607 0.000 0.000 -2.303 3.990 0.000 0.000 0.000 3.038" Properties=species:S:1:pos:R:3 pbc="T T T"
Mn 0.000 0.000 0.000
Cd 2.303 1.330 1.095
In 0.000 2.660 1.982
```

(4)
DFT (SCAN) results for a PBEsol-optimized structure of AsPbSe2.

Results
M_tot, μB/f.u.: 0.0
E_form (uncorrected), eV/atom: 0.1958
Symmetry: Fm-3m, No. 225
Theoretical density, g/cm3: 8.29
E above lowest polymorph, meV per atom: 195

extended XYZ file:
```
16
Lattice="7.063 0.000 0.000 0.000 7.063 0.000 0.000 0.000 7.063" Properties=species:S:1:pos:R:3 pbc="T T T"
As 0.000 0.000 0.000
As 0.000 3.532 3.532
As 3.532 0.000 3.532
As 3.532 3.532 0.000
Pb 0.000 0.000 3.532
Pb 0.000 3.532 0.000
Pb 3.532 0.000 0.000
Pb 3.532 3.532 3.532
Se 1.766 1.766 1.766
Se 1.766 1.766 5.298
Se 1.766 5.298 1.766
Se 1.766 5.298 5.298
Se 5.298 1.766 1.766
Se 5.298 1.766 5.298
Se 5.298 5.298 1.766
Se 5.298 5.298 5.298
```

(5)
DFT (SCAN) results for a PBEsol-optimized structure of SrCoSbI2.

Results
M_tot, μB/f.u.: 2.4
E_form (uncorrected), eV/atom: -0.3620
Symmetry: P4/mmm, No. 123
Theoretical density, g/cm3: 6.13

extended XYZ file:
```
5
Lattice="5.372 0.000 0.000 0.000 5.372 0.000 0.000 0.000 4.898" Properties=species:S:1:pos:R:3 pbc="T T T"
Sr 0.000 0.000 0.000
Co 2.686 2.686 2.449
Sb 2.686 2.686 0.000
I 0.000 2.686 2.449
I 2.686 0.000 2.449
```

(6)
DFT (SCAN) results for a PBEsol-optimized structure of Rb2HfB2.

Results
Uncorrected energy, eV per atom: -21.7101
M_tot, μB/f.u.: 0.0
Symmetry: P4/mbm, No. 127
Theoretical density, g/cm3: 5.71

extended XYZ file:
```
10
Lattice="8.556 0.000 0.000 0.000 8.556 0.000 0.000 0.000 2.950" Properties=species:S:1:pos:R:3 pbc="T T T"
Rb 1.051 3.227 0.000
Rb 3.227 7.505 0.000
Rb 5.330 1.051 0.000
Rb 7.505 5.330 0.000
Hf 0.000 0.000 0.000
Hf 4.278 4.278 0.000
B 1.553 5.831 1.475
B 2.725 1.553 1.475
B 5.831 7.003 1.475
B 7.003 2.725 1.475
```

(7)
DFT (SCAN) results for a PBEsol-optimized structure of In2HgW.

Results
Uncorrected energy, eV per atom: -50.4484
M_tot, μB/f.u.: 0.0
Symmetry: Pmmm, No. 47
Theoretical density, g/cm3: 12.77

extended XYZ file:
```
4
Lattice="2.921 0.000 0.000 0.000 5.162 0.000 0.000 0.000 5.295" Properties=species:S:1:pos:R:3 pbc="T T T"
In 0.000 0.000 0.000
In 1.460 0.000 2.648
Hg 0.000 2.581 2.648
W 1.460 2.581 0.000
```

(8)
DFT (SCAN) results for a PBEsol-optimized structure of TiMnAs.

Results
Uncorrected energy, eV per atom: -18.8928
M_tot, μB/f.u.: 1.0
Symmetry: P-62m, No. 189
Theoretical density, g/cm3: 7.37

extended XYZ file:
```
9
Lattice="6.315 0.000 0.000 -3.158 5.469 0.000 0.000 0.000 3.480" Properties=species:S:1:pos:R:3 pbc="T T T"
Ti -1.857 3.216 0.000
Ti 1.301 2.253 0.000
Ti 3.714 0.000 0.000
Mn -0.782 1.355 1.740
Mn 1.565 0.000 1.740
Mn 2.375 4.114 1.740
As 0.000 0.000 0.000
As 0.000 3.646 1.740
As 3.158 1.823 1.740
```

(9)
DFT (SCAN) results for a PBEsol-optimized structure of IrNF2.

Results
M_tot, μB/f.u.: 0.6
E_form (uncorrected), eV/atom: -0.3011
Symmetry: I-42d, No. 122
Theoretical density, g/cm3: 7.27

extended XYZ file:
```
16
Lattice="7.842 0.000 0.000 0.000 7.842 0.000 0.000 0.000 3.626" Properties=species:S:1:pos:R:3 pbc="T T T"
Ir 0.000 0.000 0.000
Ir 0.000 3.921 0.907
Ir 3.921 0.000 2.720
Ir 3.921 3.921 1.813
N 0.000 0.000 1.813
N 0.000 3.921 2.720
N 3.921 0.000 0.907
N 3.921 3.921 0.000
F 0.684 5.882 0.453
F 1.961 0.684 3.173
F 1.961 3.237 1.360
F 3.237 5.882 2.266
F 4.605 1.961 2.266
F 5.882 4.605 1.360
F 5.882 7.158 3.173
F 7.158 1.961 0.453
```

(10)
DFT (SCAN) results for a PBEsol-optimized structure of La2Au.

Results
Uncorrected energy, eV per atom: -52.5179
M_tot, μB/f.u.: 0.0
Symmetry: P-62m, No. 189
Theoretical density, g/cm3: 9.07

extended XYZ file:
```
9
Lattice="7.964 0.000 0.000 -3.982 6.897 0.000 0.000 0.000 4.748" Properties=species:S:1:pos:R:3 pbc="T T T"
La -1.074 1.860 0.000
La -2.387 4.134 2.374
La 2.148 0.000 0.000
La 1.595 2.762 2.374
La 4.774 0.000 2.374
La 2.908 5.037 0.000
Au 0.000 0.000 2.374
Au 0.000 4.598 0.000
Au 3.982 2.299 0.000
```

(11)
DFT (SCAN) results for a PBEsol-optimized structure of TlRe2Se.

Results
M_tot, μB/f.u.: 0.0
E_form (uncorrected), eV/atom: 0.7028
Symmetry: Cmm2, No. 35
Theoretical density, g/cm3: 14.72
E above lowest polymorph, meV per atom: 0

extended XYZ file:
```
8
Lattice="2.979 0.000 0.000 0.000 4.839 0.000 0.000 0.000 10.261" Properties=species:S:1:pos:R:3 pbc="T T T"
Tl 0.000 0.000 0.000
Tl 1.489 2.420 0.000
Re 0.000 0.000 4.799
Re 0.000 2.420 2.701
Re 1.489 0.000 2.701
Re 1.489 2.420 4.799
Se 0.000 2.420 6.956
Se 1.489 0.000 6.956
```

(12)
DFT (SCAN) results for a PBEsol-optimized structure of KSrBe2.

Results
M_tot, μB/f.u.: 0.1
Symmetry: C2/m, No. 12
Theoretical density, g/cm3: 1.71
E above lowest polymorph, meV per atom: 34

extended XYZ file:
```
8
Lattice="10.822 0.000 0.000 0.000 4.145 0.000 -5.066 0.000 6.251" Properties=species:S:1:pos:R:3 pbc="T T T"
K 0.000 0.000 0.000
K 5.411 2.073 0.000
Sr -2.533 2.073 3.126
Sr 2.878 0.000 3.126
Be -0.050 0.000 3.224
Be 0.395 2.073 3.028
Be 5.361 2.073 3.224
Be 5.806 0.000 3.028
```

(13)
DFT (SCAN) results for a PBEsol-optimized structure of LiNi2Ru.

Results
M_tot, μB/f.u.: 0.0
Symmetry: Pmm2, No. 25
Theoretical density, g/cm3: 8.26
E above lowest polymorph, meV per atom: 23

extended XYZ file:
```
4
Lattice="2.491 0.000 0.000 0.000 4.125 0.000 0.000 0.000 4.410" Properties=species:S:1:pos:R:3 pbc="T T T"
Li 0.000 0.000 0.000
Ni 1.245 0.000 2.259
Ni 1.245 2.063 3.794
Ru 0.000 2.063 1.586
```

(14)
DFT (SCAN) results for a PBEsol-optimized structure of Tl2Hg2Cl.

Results
M_tot, μB/f.u.: 0.0
E_form (uncorrected), eV/atom: -0.3556
Symmetry: P4/mbm, No. 127
Theoretical density, g/cm3: 9.99

extended XYZ file:
```
10
Lattice="8.212 0.000 0.000 0.000 8.212 0.000 0.000 0.000 4.169" Properties=species:S:1:pos:R:3 pbc="T T T"
Tl 1.459 2.647 0.000
Tl 2.647 6.753 0.000
Tl 5.566 1.459 0.000
Tl 6.753 5.566 0.000
Hg 1.078 5.184 2.084
Hg 3.028 1.078 2.084
Hg 5.184 7.135 2.084
Hg 7.135 3.028 2.084
Cl 0.000 0.000 0.000
Cl 4.106 4.106 0.000
```

(15)
DFT (SCAN) results for a PBEsol-optimized structure of RuPb2Se.

Results
M_tot, μB/f.u.: 0.0
E_form (uncorrected), eV/atom: 0.5938
Symmetry: F-43m, No. 216
Theoretical density, g/cm3: 11.65

extended XYZ file:
```
16
Lattice="6.972 0.000 0.000 0.000 6.972 0.000 0.000 0.000 6.972" Properties=species:S:1:pos:R:3 pbc="T T T"
Ru 0.000 0.000 0.000
Ru 0.000 3.486 3.486
Ru 3.486 0.000 3.486
Ru 3.486 3.486 0.000
Pb 0.000 0.000 3.486
Pb 0.000 3.486 0.000
Pb 1.743 1.743 5.229
Pb 1.743 5.229 1.743
Pb 3.486 0.000 0.000
Pb 3.486 3.486 3.486
Pb 5.229 1.743 1.743
Pb 5.229 5.229 5.229
Se 1.743 1.743 1.743
Se 1.743 5.229 5.229
Se 5.229 1.743 5.229
Se 5.229 5.229 1.743
```